Material: NiHg2Bi
Method: DFT, GGA-PBE
State: relaxed

## Properties
E: -2.292 eV per atom

a = 6.8438 Å, b = 6.8438 Å, c = 6.8438 Å
α = 97.62°, β = 97.62°, γ = 137.30°
Fractional positions:
Ni: 0.0000 0.0000 0.0000
Ni: 0.7500 0.2500 0.5000
Hg: 0.0230 0.1250 0.3980
Hg: 0.3750 0.9770 0.1020
Hg: 0.7270 0.6250 0.6020
Hg: 0.8750 0.2730 0.8980
Bi: 0.2500 0.7500 0.5000
Bi: 0.5000 0.5000 0.0000

***

Material: ReTcHIr2
Method: DFT, GGA-PBE
State: relaxed

## Properties
E: -8.762 eV per atom

a = 3.8870 Å, b = 3.8870 Å, c = 4.0039 Å
α = 90.00°, β = 90.00°, γ = 90.00°
Fractional positions:
Re: 0.0000 0.0000 0.0000
Tc: 0.5000 0.5000 0.0000
H: 0.5000 0.5000 0.5000
Ir: 0.0000 0.5000 0.5000
Ir: 0.5000 0.0000 0.5000

***

Material: Ba2ZnCdPd
Method: DFT, GGA-PBE
State: relaxed

## Properties
E: -2.461 eV per atom

a = 6.0952 Å, b = 6.0952 Å, c = 5.2607 Å
α = 90.00°, β = 90.00°, γ = 90.00°
Fractional positions:
Ba: 0.0000 0.5000 0.0000
Ba: 0.5000 0.0000 0.0000
Zn: 0.0000 0.0000 0.5000
Cd: 0.5000 0.5000 0.5000
Pd: 0.5000 0.5000 0.0000

***

Material: NiHgPd
Method: DFT, GGA-PBE
State: relaxed

## Properties
E: -3.621 eV per atom

a = 4.3864 Å, b = 4.3864 Å, c = 2.8777 Å
α = 90.00°, β = 90.00°, γ = 120.00°
Fractional positions:
Ni: 0.0000 0.0000 0.0000
Hg: 0.3333 0.6667 0.5511
Pd: 0.6667 0.3333 0.0723

***

Material: YZn4Cr
Method: DFT, GGA-PBE
State: relaxed

## Properties
E: -3.675 eV per atom

a = 5.2219 Å, b = 5.2219 Å, c = 5.2219 Å
α = 60.00°, β = 60.00°, γ = 60.00°
Fractional positions:
Y: 0.0000 0.0000 0.0000
Zn: 0.1275 0.6242 0.6242
Zn: 0.6242 0.1275 0.6242
Zn: 0.6242 0.6242 0.1275
Zn: 0.6242 0.6242 0.6242
Cr: 0.2500 0.2500 0.2500

***

Material: SmAlFeGe2
Method: DFT, GGA-PBE
State: relaxed

## Properties
E: -5.660 eV per atom

a = 5.5433 Å, b = 5.7030 Å, c = 5.6443 Å
α = 90.00°, β = 90.00°, γ = 90.00°
Fractional positions:
Sm: 0.2500 0.0000 0.2243
Sm: 0.7500 0.0000 0.7757
Al: 0.2500 0.5000 0.3525
Al: 0.7500 0.5000 0.6475
Fe: 0.0000 0.5000 0.0000
Fe: 0.5000 0.5000 0.0000
Ge: 0.2500 0.2519 0.7426
Ge: 0.2500 0.7481 0.7426
Ge: 0.7500 0.2519 0.2574
Ge: 0.7500 0.7481 0.2574

***

Material: Li2Mg4Pb
Method: DFT, GGA-PBE
State: relaxed

## Properties
E: -2.065 eV per atom

a = 10.1328 Å, b = 10.1328 Å, c = 3.1620 Å
α = 90.00°, β = 90.00°, γ = 151.29°
Fractional positions:
Li: 0.0675 0.9325 0.0000
Li: 0.9325 0.0675 0.0000
Mg: 0.2036 0.7964 0.5000
Mg: 0.3493 0.6507 0.0000
Mg: 0.6507 0.3493 0.0000
Mg: 0.7964 0.2036 0.5000
Pb: 0.5000 0.5000 0.5000

***

Material: Tb5Pm6Pr
Method: DFT, GGA-PBE
State: relaxed

## Properties
E: -4.687 eV per atom

a = 9.5709 Å, b = 9.5709 Å, c = 9.5709 Å
α = 148.98°, β = 115.40°, γ = 73.39°
Fractional positions:
Tb: 0.0000 0.0000 0.0000
Tb: 0.1668 0.6668 0.5000
Tb: 0.3325 0.3325 0.0000
Tb: 0.6675 0.6675 0.0000
Tb: 0.8332 0.3332 0.5000
Pm: 0.0817 0.8330 0.2487
Pm: 0.2478 0.5000 0.7478
Pm: 0.4157 0.1670 0.2487
Pm: 0.5843 0.8330 0.7513
Pm: 0.7522 0.5000 0.2522
Pm: 0.9183 0.1670 0.7513
Pr: 0.5000 0.0000 0.5000

***

Material: ThPaHgOs
Method: DFT, GGA-PBE
State: relaxed

## Properties
E: -7.315 eV per atom

a = 8.1188 Å, b = 8.1188 Å, c = 8.1188 Å
α = 28.86°, β = 28.86°, γ = 28.86°
Fractional positions:
Th: 0.0000 0.0000 0.0000
Pa: 0.7991 0.7991 0.7991
Hg: 0.2286 0.2286 0.2286
Os: 0.4053 0.4053 0.4053

***

Material: Hg3AsC
Method: DFT, GGA-PBE
State: relaxed

## Properties
E: -1.811 eV per atom

a = 4.7050 Å, b = 4.7050 Å, c = 4.7050 Å
α = 90.00°, β = 90.00°, γ = 90.00°
Fractional positions:
Hg: 0.0000 0.0000 0.5000
Hg: 0.0000 0.5000 0.0000
Hg: 0.5000 0.0000 0.0000
As: 0.5000 0.5000 0.5000
C: 0.0000 0.0000 0.0000

***

Material: Sb3PdPb
Method: DFT, GGA-PBE
State: relaxed

## Properties
formation energy without anion corrections: -0.1277 eV per atom

a = 6.4754 Å, b = 6.2935 Å, c = 6.8600 Å
α = 90.00°, β = 104.46°, γ = 90.00°
Fractional positions:
Sb: 0.1587 0.0000 0.2096
Sb: 0.2880 0.6199 0.0078
Sb: 0.3034 0.4887 0.5075
Sb: 0.6966 0.9887 0.4925
Sb: 0.7120 0.1199 0.9922
Sb: 0.8413 0.5000 0.7904
Pd: 0.4792 0.2889 0.2378
Pd: 0.5208 0.7889 0.7622
Pb: 0.1710 0.0875 0.7052
Pb: 0.8290 0.5875 0.2948

***

Material: Ho8Te4PtSe3
Method: DFT, GGA-PBE
State: relaxed

## Properties
formation energy without anion corrections: -1.4708 eV per atom

a = 8.5179 Å, b = 8.5179 Å, c = 8.5179 Å
α = 59.06°, β = 59.06°, γ = 59.06°
Fractional positions:
Ho: 0.2405 0.2405 0.2405
Ho: 0.2549 0.7310 0.7310
Ho: 0.2690 0.2690 0.7451
Ho: 0.2690 0.7451 0.2690
Ho: 0.7310 0.2549 0.7310
Ho: 0.7310 0.7310 0.2549
Ho: 0.7451 0.2690 0.2690
Ho: 0.7595 0.7595 0.7595
Te: 0.0000 0.0000 0.0000
Te: 0.0000 0.5000 0.5000
Te: 0.5000 0.0000 0.5000
Te: 0.5000 0.5000 0.0000
Pt: 0.5000 0.5000 0.5000
Se: 0.0000 0.0000 0.5000
Se: 0.0000 0.5000 0.0000
Se: 0.5000 0.0000 0.0000

***

Number 1: volume 202.5 Å³/cell, magnetic moment 0.00 μB per formula unit. Number 2: volume 60.5 Å³/cell, magnetic moment 0.00 μB per formula unit. Number 3: volume 195.4 Å³/cell, magnetic moment 0.00 μB per formula unit. Number 4: volume 48.0 Å³/cell, magnetic moment 0.37 μB per formula unit. Number 5: volume 100.7 Å³/cell, magnetic moment 3.01 μB per formula unit. Number 6: volume 178.4 Å³/cell, magnetic moment 0.09 μB per formula unit. Number 7: volume 156.0 Å³/cell, magnetic moment 0.00 μB per formula unit. Number 8: volume 401.8 Å³/cell, magnetic moment 0.00 μB per formula unit. Number 9: volume 110.3 Å³/cell, magnetic moment 0.00 μB per formula unit. Number 10: volume 104.2 Å³/cell, magnetic moment 0.00 μB per formula unit. Number 11: volume 270.7 Å³/cell, magnetic moment 0.00 μB per formula unit. Number 12: volume 427.6 Å³/cell, magnetic moment 0.00 μB per formula unit.